[1]
DFT (PBE-GGA) results for an optimized crystal structure of Pu2SeI2.

Unit cell a=4.2657 b=4.2651 c=11.8110 alpha=80.72 beta=79.60 gamma=60.00
Atoms (fractional coordinates):
Pu  0.2818  0.7965  0.6399
I  0.4485  0.9156  0.1873
Pu  0.7182  0.2035  0.3601
I  0.5515  0.0844  0.8127
Se  0.0000  0.5000  0.5000

- VASP energy: -8.302 eV per atom

[2]
DFT (PBE-GGA) results for an optimized crystal structure of BaCaVOs2.

Unit cell a=4.7105 b=5.2661 c=4.7105 alpha=90.00 beta=90.00 gamma=90.00
Atoms (fractional coordinates):
Os  0.0000  0.0000  0.5000
Ba  0.5000  0.5000  0.5000
Ca  0.0000  0.5000  0.0000
V  0.0000  0.0000  0.0000
Os  0.5000  0.0000  0.0000

- Formation enthalpy at 0 K: 86.33 kJ per mole of atoms

[3]
DFT (PBE-GGA) results for an optimized crystal structure of AlSiSe2N.

Unit cell a=5.0807 b=5.0807 c=3.5442 alpha=90.00 beta=90.00 gamma=90.00
Atoms (fractional coordinates):
Se  0.0000  0.5000  0.0000
N  0.0000  0.0000  0.5000
Se  0.5000  0.0000  0.0000
Si  0.5000  0.5000  0.5000
Al  0.0000  0.0000  0.0000

- VASP energy: -4.475 eV per atom

[4]
DFT (PBE-GGA) results for an optimized crystal structure of LiMgZn2.

Unit cell a=6.6709 b=4.7993 c=2.9882 alpha=89.50 beta=64.19 gamma=124.02
Atoms (fractional coordinates):
Li  0.0000  0.5000  0.5000
Zn  0.0000  0.0000  0.0000
Mg  0.5000  0.5000  0.0000
Zn  0.5000  0.0000  0.5000

- Formation enthalpy at 0 K: -11.21 kJ per mole of atoms

Calculated M_tot (μB/f.u.), listed in the same order as above: 11.9, 0.3, 0.0, 0.0